Here is a relaxed structure of Dy4SnBiTe2 from Alexandria. Energies are from PBE.

Output
* crystal system: monoclinic
* formation energy from raw total energies: -1086 meV per atom
* DOS(E_F): 0.194 states/eV/atom
* size of the total moment: 0.0 μB per formula unit

Cell lengths 7.618, 4.412, 7.649 Å; angles 90.00, 109.46, 90.00 degrees
Atoms (fractional coordinates):
Dy (0.239, 0.000, 0.240)
Dy (0.242, 0.500, 0.754)
Dy (0.758, 0.500, 0.246)
Dy (0.761, 0.000, 0.760)
Sn (0.000, 0.500, 0.000)
Bi (0.000, 0.000, 0.500)
Te (0.500, 0.000, 0.000)
Te (0.500, 0.500, 0.500)